Record 1
# LiTe2Se

A geometry-optimized LiTe2Se structure (PBE, the Alexandria database).

Properties
Uncorrected formation energy, eV/atom: -0.23
M_tot, μB/atom: 0.00
Space-group type: P2/m (10)
Total DFT energy (no corrections), eV per atom: -3.15

Lattice parameters (Å, degrees): 3.901 5.883 7.259 46.01 90.00 90.00
Element x y z (fractional)
1 Li 0.500 0.250 0.250
2 Se 0.500 0.750 0.750
3 Te 0.000 0.783 0.028
4 Te 0.000 0.717 0.472


Record 2
# SrSmGa3O7

A geometry-optimized SrSmGa3O7 structure (PBE, the Alexandria database).

Properties
Uncorrected formation energy, eV/atom: -2.43
M_tot, μB/atom: 0.00
Space-group type: Cmm2 (35)
Total DFT energy (no corrections), eV per atom: -6.61

Lattice parameters (Å, degrees): 8.057 8.057 5.338 90.00 90.00 90.92
Element x y z (fractional)
1 Sr 0.162 0.838 0.491
2 Sr 0.838 0.162 0.491
3 Sm 0.660 0.660 0.517
4 Sm 0.340 0.340 0.517
5 Ga 0.500 0.000 0.995
6 Ga 0.000 0.500 0.995
7 Ga 0.359 0.641 0.034
8 Ga 0.852 0.852 0.966
9 Ga 0.641 0.359 0.034
10 Ga 0.148 0.148 0.966
11 O 0.417 0.836 0.203
12 O 0.901 0.656 0.787
13 O 0.583 0.164 0.203
14 O 0.099 0.344 0.787
15 O 0.344 0.099 0.787
16 O 0.836 0.417 0.203
17 O 0.656 0.901 0.787
18 O 0.164 0.583 0.203
19 O 0.000 0.000 0.821
20 O 0.500 0.500 0.214
21 O 0.373 0.627 0.693
22 O 0.844 0.844 0.305
23 O 0.627 0.373 0.693
24 O 0.156 0.156 0.305


Record 3
# Ba2NdTlO5

A geometry-optimized Ba2NdTlO5 structure (PBE, the Alexandria database).

Properties
Uncorrected formation energy, eV/atom: -2.25
M_tot, μB/atom: 0.00
Space-group type: Cmc2_1 (36)
Total DFT energy (no corrections), eV per atom: -6.22

Lattice parameters (Å, degrees): 3.699 7.857 11.660 90.00 90.00 103.61
Element x y z (fractional)
1 Ba 0.864 0.728 0.787
2 Ba 0.113 0.226 0.699
3 Ba 0.136 0.272 0.287
4 Ba 0.887 0.774 0.199
5 Nd 0.782 0.563 0.506
6 Nd 0.218 0.437 0.006
7 Tl 0.518 0.035 0.967
8 Tl 0.482 0.965 0.467
9 O 0.370 0.740 0.004
10 O 0.692 0.385 0.877
11 O 0.496 0.991 0.785
12 O 0.282 0.564 0.642
13 O 0.942 0.885 0.557
14 O 0.630 0.260 0.504
15 O 0.308 0.615 0.377
16 O 0.504 0.009 0.285
17 O 0.718 0.436 0.142
18 O 0.058 0.115 0.057


Record 4
# LiZr5N6

A geometry-optimized LiZr5N6 structure (PBE, the Alexandria database).

Properties
Uncorrected formation energy, eV/atom: -1.58
M_tot, μB/atom: 0.00
Space-group type: C2/m (12)
Total DFT energy (no corrections), eV per atom: -9.47

Lattice parameters (Å, degrees): 5.592 5.614 5.615 60.01 80.41 70.52
Element x y z (fractional)
1 N 0.745 0.085 0.337
2 N 0.255 0.578 0.337
3 N 0.249 0.253 0.000
4 N 0.751 0.747 0.000
5 N 0.745 0.422 0.663
6 N 0.255 0.915 0.663
7 Zr 0.500 0.161 0.678
8 Zr 0.000 0.334 0.332
9 Zr 0.500 0.500 0.000
10 Zr 0.000 0.666 0.668
11 Zr 0.500 0.839 0.322
12 Li 0.000 0.000 0.000